Arrangement i

GGA-PBE Pr3Se2S, optimized geometry; volume = 26.5 Å³ per atom; mass density = 6.40 Mg/m³
1.0
-2.102 2.975 6.352
2.102 -2.975 6.352
2.102 2.975 -6.352
Pr Se S
3 2 1
Cartesian
0.000 0.000 0.000
0.000 0.000 4.400
0.000 0.000 8.304
2.102 0.000 2.178
0.000 2.975 4.174
0.000 2.975 0.000

---

Arrangement ii

GGA-PBE Pr3Se2S, optimized geometry; volume = 26.8 Å³ per atom; mass density = 6.34 Mg/m³
1.0
4.170 0.000 0.000
-2.085 3.611 0.000
0.000 0.000 21.323
Pr Se S
6 4 2
Cartesian
0.000 0.000 0.000
0.000 0.000 10.661
0.000 2.408 3.536
0.000 2.408 7.125
2.085 1.204 14.197
2.085 1.204 17.786
0.000 2.408 12.449
0.000 2.408 19.535
2.085 1.204 1.788
2.085 1.204 8.873
0.000 0.000 5.331
0.000 0.000 15.992

---

Winner for stability: arrangement i

---

Arrangement i

GGA-PBE Pr2Se2S, optimized geometry; volume = 28.7 Å³ per atom; mass density = 5.45 Mg/m³
1.0
-3.919 5.742 3.193
3.919 -5.742 3.193
3.919 5.742 -3.193
Pr Se S
4 4 2
Cartesian
1.936 1.267 0.000
1.936 -1.267 3.193
1.982 7.009 0.000
1.982 4.475 3.193
4.966 1.649 0.000
1.047 4.093 0.000
2.871 1.649 3.193
-1.047 4.093 3.193
0.000 0.000 1.597
0.000 0.000 4.790

---

Arrangement ii

GGA-PBE Pr2Se2S, optimized geometry; volume = 28.4 Å³ per atom; mass density = 5.51 Mg/m³
1.0
2.152 -8.566 0.000
2.152 8.566 0.000
0.000 0.000 7.710
Pr Se S
4 4 2
Cartesian
2.152 7.657 3.855
2.152 3.155 3.515
2.152 -3.155 7.370
2.152 -7.657 0.000
2.152 3.337 0.347
2.152 0.868 5.427
2.152 -0.868 1.572
2.152 -3.337 4.202
2.152 6.891 6.557
2.152 -6.891 2.702

---

Winner for stability: arrangement ii

---

Arrangement i

GGA-PBE Pr4Se3S, optimized geometry; volume = 26.8 Å³ per atom; mass density = 6.46 Mg/m³
1.0
5.982 0.000 0.000
0.000 5.982 0.000
0.000 0.000 5.982
Pr Se S
4 3 1
Cartesian
0.000 0.000 0.000
0.000 2.991 2.991
2.991 0.000 2.991
2.991 2.991 0.000
0.000 0.000 2.991
0.000 2.991 0.000
2.991 0.000 0.000
2.991 2.991 2.991

---

Arrangement ii

GGA-PBE Pr4Se3S, optimized geometry; volume = 26.8 Å³ per atom; mass density = 6.46 Mg/m³
1.0
4.263 -5.989 0.000
4.263 5.989 0.000
0.000 0.000 4.193
Pr Se S
4 3 1
Cartesian
1.980 0.000 2.097
4.263 3.115 0.000
4.263 -3.115 0.000
6.546 0.000 2.097
2.132 2.995 2.097
2.132 -2.995 2.097
4.263 0.000 0.000
0.000 0.000 0.000

---

Winner for stability: arrangement ii

---

Arrangement i

GGA-PBE Pr4Se3S2, optimized geometry; volume = 27.7 Å³ per atom; mass density = 5.76 Mg/m³
1.0
4.234 -7.307 0.000
4.234 7.307 0.000
0.000 0.000 8.055
Pr Se S
8 6 4
Cartesian
4.234 4.236 7.794
2.117 0.015 6.041
2.117 -0.015 2.014
4.234 3.071 3.766
4.234 -3.071 4.289
6.351 0.015 6.041
6.351 -0.015 2.014
4.234 -4.236 0.261
0.000 0.000 0.000
2.117 2.948 6.041
2.117 -2.948 2.014
4.234 0.000 4.028
6.351 2.948 6.041
6.351 -2.948 2.014
4.234 5.720 5.024
4.234 1.587 0.997
4.234 -1.587 7.058
4.234 -5.720 3.031

---

Arrangement ii

GGA-PBE Pr4Se3S2, optimized geometry; volume = 28.3 Å³ per atom; mass density = 5.64 Mg/m³
1.0
5.191 -1.984 0.000
5.191 1.984 0.000
-1.551 0.000 12.364
Pr Se S
4 3 2
Cartesian
0.684 0.000 2.044
3.370 0.000 4.727
5.461 0.000 7.637
8.147 0.000 10.321
0.461 0.000 5.085
5.191 0.000 0.000
8.370 0.000 7.279
0.813 0.000 9.648
8.019 0.000 2.716

---

Winner for stability: arrangement ii

---

Arrangement i

GGA-PBE Pr3SmS6, optimized geometry; volume = 28.6 Å³ per atom; mass density = 4.45 Mg/m³
1.0
3.611 2.085 6.329
-3.611 2.085 6.329
0.000 -4.169 6.329
Pr Sm S
3 1 6
Cartesian
0.000 0.000 0.000
0.000 0.000 3.948
0.000 0.000 9.459
0.000 0.000 13.393
-1.128 -2.337 8.306
-2.113 0.009 11.477
-1.460 2.146 8.306
1.049 -1.835 11.477
2.588 0.192 8.306
1.064 1.826 11.477

---

Arrangement ii

GGA-PBE Pr3SmS6, optimized geometry; volume = 29.1 Å³ per atom; mass density = 4.37 Mg/m³
1.0
5.974 3.449 4.703
-5.974 3.449 4.703
0.000 -6.899 4.703
Pr Sm S
6 2 12
Cartesian
-4.080 -1.154 6.532
-1.041 -4.110 7.578
-3.039 2.956 7.578
3.039 -2.956 6.532
1.041 4.110 6.532
4.080 1.154 7.578
0.000 0.000 0.000
0.000 0.000 7.055
-3.871 -3.770 7.647
-5.201 1.468 6.463
-1.411 -1.973 5.650
1.329 -5.238 6.463
-2.414 0.235 8.459
-1.003 2.209 5.650
1.003 -2.209 8.459
2.414 -0.235 5.650
-1.329 5.238 7.647
1.411 1.973 8.459
5.201 -1.468 7.647
3.871 3.770 6.463

---

Winner for stability: arrangement ii

---

Arrangement i

GGA-PBE PrSmS, optimized geometry; volume = 29.5 Å³ per atom; mass density = 6.06 Mg/m³
1.0
1.988 1.148 12.943
-1.988 1.148 12.943
0.000 -2.296 12.943
Pr Sm S
2 2 2
Cartesian
0.000 0.000 4.836
0.000 0.000 33.994
0.000 0.000 14.517
0.000 0.000 24.313
0.000 0.000 9.801
0.000 0.000 29.029

---

Arrangement ii

GGA-PBE PrSmS, optimized geometry; volume = 29.5 Å³ per atom; mass density = 6.06 Mg/m³
1.0
3.941 0.000 0.000
-1.971 3.413 0.000
0.000 0.000 6.582
Pr Sm S
1 1 1
Cartesian
0.000 0.000 0.000
0.000 2.276 3.394
1.971 1.138 1.753

---

Winner for stability: arrangement i

---

Arrangement i

GGA-PBE PrSm3S4, optimized geometry; volume = 23.2 Å³ per atom; mass density = 6.44 Mg/m³
1.0
5.707 0.000 0.000
0.000 5.707 0.000
0.000 0.000 5.707
Pr Sm S
1 3 4
Cartesian
0.000 0.000 0.000
0.000 2.853 2.853
2.853 0.000 2.853
2.853 2.853 0.000
0.000 0.000 2.853
0.000 2.853 0.000
2.853 0.000 0.000
2.853 2.853 2.853

---

Arrangement ii

GGA-PBE PrSm3S4, optimized geometry; volume = 23.2 Å³ per atom; mass density = 6.44 Mg/m³
1.0
-2.851 2.851 5.710
2.851 -2.851 5.710
2.851 2.851 -5.710
Pr Sm S
1 3 4
Cartesian
0.000 0.000 0.000
2.851 0.000 2.855
0.000 0.000 5.710
0.000 2.851 2.855
2.851 0.000 0.000
0.000 0.000 2.889
0.000 2.851 0.000
0.000 0.000 8.532

---

Winner for stability: arrangement ii

---

Arrangement i

GGA-PBE PrSnS3, optimized geometry; volume = 26.0 Å³ per atom; mass density = 4.54 Mg/m³
1.0
-2.597 5.595 4.478
2.597 -5.595 4.478
2.597 5.595 -4.478
Pr Sn S
2 2 6
Cartesian
0.000 0.000 0.000
0.000 5.595 0.000
2.597 2.797 0.084
0.000 2.797 4.395
2.597 -2.797 3.713
2.597 0.725 1.432
0.000 0.725 3.046
2.597 4.870 1.432
0.000 4.870 3.046
0.000 8.392 0.765

---

Arrangement ii

GGA-PBE PrSnS3, optimized geometry; volume = 23.1 Å³ per atom; mass density = 5.11 Mg/m³
1.0
8.025 0.000 0.000
0.000 3.995 0.000
0.000 0.000 14.421
Pr Sn S
4 4 12
Cartesian
1.124 0.999 2.745
2.888 2.996 9.955
5.136 0.999 4.466
6.900 2.996 11.676
1.463 2.996 6.471
2.549 0.999 13.681
5.475 2.996 0.740
6.561 0.999 7.950
0.045 2.996 8.963
1.202 0.999 11.419
1.244 2.996 0.609
2.768 0.999 7.819
2.810 2.996 4.209
3.967 0.999 1.753
4.057 2.996 12.668
5.214 0.999 10.212
5.257 2.996 6.601
6.780 0.999 13.812
6.822 2.996 3.001
7.980 0.999 5.458

---

Winner for stability: arrangement ii

---

Arrangement i

GGA-PBE SrPrS2, optimized geometry; volume = 25.9 Å³ per atom; mass density = 4.68 Mg/m³
1.0
4.118 0.000 0.000
-2.059 3.566 0.000
0.000 0.000 14.135
Sr Pr S
2 2 4
Cartesian
0.000 2.378 3.534
2.059 1.189 10.601
0.000 0.000 0.000
0.000 0.000 7.067
0.000 2.378 8.757
0.000 2.378 12.445
2.059 1.189 1.689
2.059 1.189 5.378

---

Arrangement ii

GGA-PBE SrPrS2, optimized geometry; volume = 26.2 Å³ per atom; mass density = 4.64 Mg/m³
1.0
2.042 1.179 7.261
-2.042 1.179 7.261
0.000 -2.357 7.261
Sr Pr S
1 1 2
Cartesian
0.000 0.000 0.000
0.000 0.000 3.786
0.000 0.000 12.736
0.000 0.000 16.518

---

Arrangement iii

GGA-PBE SrPrS2, optimized geometry; volume = 25.8 Å³ per atom; mass density = 4.70 Mg/m³
1.0
2.072 1.196 6.952
-2.072 1.196 6.952
0.000 -2.392 6.952
Sr Pr S
1 1 2
Cartesian
0.000 0.000 0.000
0.000 0.000 10.428
0.000 0.000 5.168
0.000 0.000 15.689

---

Arrangement iv

GGA-PBE SrPrS2, optimized geometry; volume = 26.4 Å³ per atom; mass density = 4.59 Mg/m³
1.0
4.078 0.000 0.000
-2.039 3.531 0.000
0.000 0.000 7.347
Sr Pr S
1 1 2
Cartesian
0.000 0.000 0.000
0.000 0.000 3.674
0.000 2.354 5.461
2.039 1.177 1.886

---

Winner for stability: arrangement iii

---

Arrangement i

GGA-PBE PrTaS4, optimized geometry; volume = 28.2 Å³ per atom; mass density = 4.41 Mg/m³
1.0
-4.687 4.687 3.855
4.687 -4.687 3.855
4.687 4.687 -3.855
Pr Ta S
2 2 8
Cartesian
4.687 2.344 0.964
0.000 2.344 2.891
4.687 -2.344 2.891
0.000 7.031 0.964
4.687 -0.579 1.460
4.687 4.108 -1.460
1.764 2.344 0.468
2.923 -2.344 4.323
1.764 7.031 -0.468
2.923 2.344 3.387
0.000 0.579 5.315
0.000 5.266 2.395

---

Arrangement ii

GGA-PBE PrTaS4, optimized geometry; volume = 23.5 Å³ per atom; mass density = 5.31 Mg/m³
1.0
6.630 0.000 0.000
0.000 6.502 0.000
-1.220 0.000 6.534
Pr Ta S
2 2 8
Cartesian
0.000 0.000 0.000
-0.610 3.251 3.267
2.705 0.000 3.267
3.315 3.251 0.000
0.653 0.921 2.590
0.043 2.330 5.857
2.069 4.527 1.777
1.459 5.226 5.044
3.950 1.276 1.490
3.340 1.975 4.757
5.366 4.172 0.677
4.756 5.581 3.944

---

Winner for stability: arrangement i